This record from Alexandria describes a relaxed YMoRh crystal. The functional is PBE.

Geometry as POSCAR:
```
YMoRh
1.0
4.632 0.000 0.000
-2.316 4.011 0.000
0.000 0.000 3.077
Y Mo Rh
1 1 1
direct
0.000 0.000 0.000
0.333 0.667 0.444
0.667 0.333 0.554
```

ΔE to the lowest computed polymorph, meV/atom: 193
Electronic total energy, Ry per atom: -0.594
M_tot, Bohr magnetons per cell: 0.0
DFT formation energy, kJ/mol of atoms: 13